1.
An optimized crystal structure of ZrMoAs2, computed with PBE.

The space group is P2/m (No. 10) and the conventional cell measures 3.327, 4.103 and 5.406 Å, with angles of 90.00, 96.54 and 90.00 degrees. The asymmetric unit holds Zr at (0.000, 0.000, 0.000), Mo at (0.500, 0.000, 0.500) and As at (0.397, 0.500, 0.756).

As for the final energy: -29.7 eV/cell. For the polymorph energy (0 for the lowest one), the calculation gives 408 meV per atom.

=====

2.
An optimized crystal structure of TbMgGeH, computed with PBE.

The space group is P4/nmm (No. 129, origin choice 2) and the conventional cell measures 4.158, 4.158 and 7.853 Å, with angles of 90.00, 90.00 and 90.00 degrees. The asymmetric unit holds Tb at (0.250, 0.250, 0.133), Mg at (0.250, 0.750, 0.500), Ge at (0.250, 0.250, 0.727) and H at (0.250, 0.750, 0.000).

As for the final energy: -33.2 eV/cell.